Record 1
The following is a PBEsol calculation of an optimized crystal structure of BeNi3Ge, from the Alexandria database.

Geometry as POSCAR:
```
BeNi3Ge
1.0
3.831 0.000 0.000
0.000 3.831 0.000
0.000 0.000 3.831
Be Ni Ge
1 3 1
Direct
0.000 0.000 0.000
0.000 0.000 0.500
0.000 0.500 0.000
0.500 0.000 0.000
0.500 0.500 0.500
```

Properties
- Raw total energy: -5.30 eV per atom
- Calculated formation energy: 186.6 meV per atom
- DOS(E_F): 3.70 states/eV/cell

---

Record 2
The following is a PBEsol calculation of an optimized crystal structure of BaYMnCuO5, from the Alexandria database.

Geometry as POSCAR:
```
BaYMnCuO5
1.0
3.858 0.000 0.000
0.000 3.858 0.000
0.000 0.000 7.466
Ba Y Mn Cu O
1 1 1 1 5
Direct
0.000 0.000 0.000
0.000 0.000 0.527
0.500 0.500 0.285
0.500 0.500 0.730
0.000 0.500 0.330
0.000 0.500 0.707
0.500 0.000 0.330
0.500 0.000 0.707
0.500 0.500 0.040
```

Properties
- Raw total energy: -7.72 eV per atom
- Formation energy (no corrections): -1947 kJ/mol of formula units
- DOS(E_F): 2.27 states/eV/cell

---

Record 3
The following is a PBEsol calculation of an optimized crystal structure of Ba2Li3Y3Mo8O32, from the Alexandria database.

Geometry as POSCAR:
```
Ba2Li3Y3Mo8O32
1.0
5.188 0.000 0.000
2.530 6.318 0.000
0.344 0.399 18.877
Ba Li Y Mo O
2 3 3 8 32
Direct
0.000 0.000 0.000
0.055 0.881 0.479
0.317 0.311 0.478
0.749 0.568 0.003
0.937 0.174 0.190
0.170 0.650 0.269
0.171 0.644 0.706
0.891 0.230 0.771
0.305 0.420 0.888
0.311 0.411 0.088
0.448 0.061 0.329
0.479 0.061 0.645
0.583 0.811 0.832
0.583 0.846 0.149
0.756 0.467 0.392
0.759 0.458 0.587
0.028 0.236 0.420
0.042 0.633 0.054
0.107 0.456 0.805
0.121 0.332 0.950
0.158 0.219 0.101
0.203 0.289 0.287
0.247 0.976 0.700
0.269 0.030 0.840
0.283 0.909 0.206
0.307 0.667 0.909
0.316 0.117 0.563
0.319 0.854 0.347
0.414 0.641 0.605
0.417 0.481 0.169
0.492 0.782 0.066
0.504 0.531 0.463
0.514 0.275 0.695
0.546 0.597 0.781
0.570 0.112 0.411
0.573 0.354 0.020
0.602 0.436 0.313
0.652 0.237 0.872
0.713 0.050 0.131
0.748 0.755 0.913
0.748 0.965 0.274
0.753 0.211 0.567
0.796 0.845 0.635
0.814 0.897 0.776
0.849 0.632 0.190
0.923 0.651 0.376
0.953 0.418 0.670
0.957 0.539 0.526
```

Properties
- Raw total energy: -8.56 eV per atom
- Formation energy (no corrections): -11404 kJ/mol of formula units
- DOS(E_F): 0.00 states/eV/cell

---

Record 4
The following is a PBEsol calculation of an optimized crystal structure of HfZnH3, from the Alexandria database.

Geometry as POSCAR:
```
HfZnH3
1.0
3.483 0.000 0.000
0.000 3.483 0.000
0.000 0.000 3.483
Hf Zn H
1 1 3
Direct
0.000 0.000 0.000
0.500 0.500 0.500
0.000 0.500 0.500
0.500 0.000 0.500
0.500 0.500 0.000
```

Properties
- Raw total energy: -4.11 eV per atom
- DOS(E_F): 2.08 states/eV/cell

---

Record 5
The following is a PBEsol calculation of an optimized crystal structure of Y3GaPb, from the Alexandria database.

Geometry as POSCAR:
```
Y3GaPb
1.0
5.332 0.000 0.000
0.000 5.332 0.000
0.000 0.000 5.332
Y Ga Pb
3 1 1
Direct
0.000 0.000 0.500
0.000 0.500 0.000
0.500 0.000 0.000
0.000 0.000 0.000
0.500 0.500 0.500
```

Properties
- Raw total energy: -5.82 eV per atom
- Calculated formation energy: -256.9 meV per atom
- DOS(E_F): 1.48 states/eV/cell

---

Record 6
The following is a PBEsol calculation of an optimized crystal structure of BaP2Ir, from the Alexandria database.

Geometry as POSCAR:
```
BaP2Ir
1.0
3.356 0.000 0.000
0.000 3.356 0.000
0.000 0.000 7.054
Ba P Ir
1 2 1
Direct
0.000 0.000 0.000
0.000 0.000 0.474
0.500 0.500 0.702
0.500 0.500 0.375
```

Properties
- Raw total energy: -5.97 eV per atom
- Calculated formation energy: -76.5 meV per atom
- DOS(E_F): 2.30 states/eV/cell

---

Record 7
The following is a PBEsol calculation of an optimized crystal structure of ScTcSe2, from the Alexandria database.

Geometry as POSCAR:
```
ScTcSe2
1.0
1.782 1.029 8.108
-1.782 1.029 8.108
0.000 -2.057 8.108
Sc Tc Se
1 1 2
Direct
0.000 0.000 0.000
0.500 0.500 0.500
0.400 0.400 0.400
0.600 0.600 0.600
```

Properties
- Raw total energy: -6.58 eV per atom
- Energy relative to the lowest polymorph listed for this composition: 0.495 eV per atom
- Formation energy (no corrections): -71 kJ/mol of formula units
- DOS(E_F): 3.19 states/eV/cell

---

Record 8
The following is a PBEsol calculation of an optimized crystal structure of CrSiPt2, from the Alexandria database.

Geometry as POSCAR:
```
CrSiPt2
1.0
3.796 0.000 0.000
0.000 1.359 5.281
0.000 -1.359 5.281
Cr Si Pt
1 1 2
Direct
0.000 0.000 0.000
0.500 0.599 0.599
0.000 0.733 0.733
0.500 0.376 0.376
```

Properties
- Raw total energy: -7.82 eV per atom
- Formation energy (no corrections): -133 kJ/mol of formula units
- DOS(E_F): 3.45 states/eV/cell

---

Question: Which value of DOS(E_F) does entry 1 give?
Answer: 3.70 states/eV/cell

---

Question: Which of these has the lowest raw total energy?
Answer: Ba2Li3Y3Mo8O32

---

Question: Which of these has the highest DOS(E_F)?
Answer: BeNi3Ge